La4HgAs2Se, optimized geometry, DFT GGA-PBE; uncorrected formation energy = -1.38 eV per atom
1.0
7.621 0.000 0.000
0.000 4.350 0.000
-2.460 0.000 7.280
La Hg As Se
4 1 2 1
Cartesian
1.195 0.000 1.706 La
-0.050 2.175 5.480 La
5.210 2.175 1.800 La
3.965 0.000 5.574 La
2.580 2.175 3.640 Hg
-1.230 0.000 3.640 As
0.000 2.175 0.000 As
3.810 0.000 0.000 Se

***

Sb2TeAsC, optimized geometry, DFT GGA-PBE; uncorrected formation energy = 1.03 eV per atom; energy above the lowest structure with this stoichiometry = 0 meV/atom
1.0
4.785 0.000 0.000
0.000 4.785 0.000
0.000 0.000 4.786
Sb Te As C
2 1 1 1
Cartesian
0.000 2.393 0.000 Sb
2.393 0.000 0.000 Sb
0.000 0.000 2.393 Te
2.393 2.393 2.393 As
0.000 0.000 0.000 C

***

GdMgIn, optimized geometry, DFT GGA-PBE; energy of formation = -402 meV per atom
1.0
7.577 0.000 0.000
-3.789 6.562 0.000
0.000 0.000 4.725
Gd Mg In
3 3 3
Cartesian
-1.641 2.842 0.000 Gd
3.282 0.000 0.000 Gd
2.148 3.720 0.000 Gd
-2.876 4.981 2.362 Mg
0.913 1.581 2.362 Mg
5.751 0.000 2.362 Mg
0.000 0.000 0.000 In
0.000 4.375 2.362 In
3.789 2.187 2.362 In

***

MgReS3, optimized geometry, DFT GGA-PBE; uncorrected formation energy = 0.07 eV per atom; energy above the lowest structure with this stoichiometry = 0 meV/atom
1.0
4.663 0.000 0.000
0.000 4.663 0.000
0.000 0.000 4.663
Mg Re S
1 1 3
Cartesian
0.000 0.000 0.000 Mg
2.331 2.331 2.331 Re
0.000 2.331 2.331 S
2.331 0.000 2.331 S
2.331 2.331 0.000 S

***

ScAlSb2, optimized geometry, DFT GGA-PBE; uncorrected formation energy = -0.19 eV per atom; energy above the lowest structure with this stoichiometry = 227 meV/atom
1.0
4.388 0.000 0.000
0.000 5.231 0.000
0.000 0.000 8.220
Sc Al Sb
2 2 4
Cartesian
0.000 0.000 0.000 Sc
2.194 2.615 0.000 Sc
0.000 0.000 4.110 Al
2.194 2.615 4.110 Al
0.000 2.615 2.010 Sb
0.000 2.615 6.211 Sb
2.194 0.000 2.010 Sb
2.194 0.000 6.211 Sb

***

RbTi2P3O12, optimized geometry, DFT GGA-PBE; uncorrected formation energy = -2.56 eV per atom
1.0
4.219 2.436 7.933
-4.219 2.436 7.933
0.000 -4.872 7.933
Rb Ti P O
2 4 6 24
Cartesian
0.000 0.000 0.000 Rb
0.000 0.000 11.900 Rb
0.000 0.000 3.592 Ti
0.000 0.000 8.308 Ti
0.000 0.000 15.491 Ti
0.000 0.000 20.207 Ti
-3.038 -0.390 9.916 P
-1.181 -2.826 13.883 P
1.857 -2.436 9.916 P
-1.857 2.436 13.883 P
1.181 2.826 9.916 P
3.038 0.390 13.883 P
-3.067 -1.349 11.127 O
-2.656 -2.662 13.453 O
-3.633 0.970 10.346 O
-0.365 -1.541 7.161 O
-1.563 -0.226 9.487 O
-1.153 1.086 7.161 O
-0.365 -3.330 12.672 O
0.977 -3.631 10.346 O
-2.702 1.981 12.672 O
0.977 -1.241 9.487 O
-0.586 -1.466 14.313 O
-1.517 -0.455 16.638 O
1.517 0.455 7.161 O
0.586 1.466 9.487 O
-0.977 1.241 14.313 O
2.702 -1.981 11.127 O
-0.977 3.631 13.453 O
0.365 3.330 11.127 O
1.153 -1.086 16.638 O
1.563 0.226 14.313 O
0.365 1.541 16.638 O
3.633 -0.970 13.453 O
2.656 2.661 10.346 O
3.067 1.349 12.672 O

***

ErThTc, optimized geometry, DFT GGA-PBE; energy above the lowest structure with this stoichiometry = 27 meV/atom; energy of formation = -70 meV per atom
1.0
6.784 0.000 0.000
0.000 7.051 0.000
-4.571 0.000 6.541
Er Th Tc
4 4 4
Cartesian
-0.325 1.223 2.877 Er
-2.610 2.303 6.148 Er
4.823 4.748 0.393 Er
2.538 5.829 3.664 Er
-0.914 4.742 3.731 Th
1.371 5.835 0.460 Th
0.842 1.216 6.081 Th
3.128 2.309 2.810 Th
0.574 3.712 1.787 Tc
-1.711 6.865 5.058 Tc
3.925 0.186 1.483 Tc
1.639 3.340 4.754 Tc

***

Si2Au, optimized geometry, DFT GGA-PBE; uncorrected formation energy = 0.15 eV per atom; energy above the lowest structure with this stoichiometry = 56 meV/atom
1.0
6.032 0.000 0.000
0.000 6.032 0.000
0.000 0.000 6.032
Si Au
8 4
Cartesian
0.682 0.682 0.682 Si
0.682 2.334 3.698 Si
2.334 3.698 0.682 Si
2.334 5.350 3.698 Si
3.698 0.682 2.334 Si
3.698 2.334 5.350 Si
5.350 3.698 2.334 Si
5.350 5.350 5.350 Si
0.000 0.000 3.016 Au
0.000 3.016 0.000 Au
3.016 0.000 0.000 Au
3.016 3.016 3.016 Au

***

Listing DOS(E_F) for the structures above in their given order: 5.5 2.8 2.0 2.8 2.8 0.0 2.3 2.4 states/eV/f.u..